Record 1
MgHg: optimized geometry, GGA-PBE.

Cell and atoms, written as POSCAR:
```
MgHg
1.0
3.267 0.000 0.000
0.000 5.097 0.000
0.000 0.000 10.641
Mg Hg
4 4
Cartesian
0.817 1.274 0.376 Mg
0.817 3.823 2.353 Mg
2.450 1.274 8.288 Mg
2.450 3.823 10.264 Mg
0.817 1.274 5.812 Hg
0.817 3.823 7.811 Hg
2.450 1.274 2.830 Hg
2.450 3.823 4.829 Hg
```

## Properties
DFT total energy: -1.00 eV/atom
SG: Pmmn (59)


Record 2
Mg4Hg3: optimized geometry, GGA-PBE.

Cell and atoms, written as POSCAR:
```
Mg4Hg3
1.0
8.262 0.000 0.000
-4.131 7.155 0.000
0.000 0.000 4.959
Mg Hg
8 6
Cartesian
-3.016 5.665 1.240 Mg
0.733 1.711 1.240 Mg
1.848 0.221 3.719 Mg
0.000 4.770 1.240 Mg
4.131 2.385 3.719 Mg
2.283 6.934 1.240 Mg
3.398 5.444 3.719 Mg
7.147 1.490 3.719 Mg
-1.923 4.527 3.719 Hg
1.172 3.226 3.719 Hg
3.380 0.598 1.240 Hg
0.751 6.557 3.719 Hg
2.959 3.929 1.240 Hg
6.054 2.628 1.240 Hg
```

## Properties
Energy above the lowest structure with this stoichiometry: 0 meV per atom
SG: P6_3/m (176)


Record 3
MgHg: optimized geometry, GGA-PBE.

Cell and atoms, written as POSCAR:
```
MgHg
1.0
6.383 0.000 0.000
0.000 5.180 0.000
-1.625 0.000 7.911
Mg Hg
6 6
Cartesian
-0.050 1.295 0.930 Mg
1.608 3.885 1.921 Mg
1.506 3.885 6.985 Mg
3.252 1.295 0.926 Mg
3.150 1.295 5.990 Mg
4.808 3.885 6.981 Mg
-0.034 3.885 4.435 Hg
-0.013 1.295 6.452 Hg
1.606 1.295 3.322 Hg
3.152 3.885 4.589 Hg
4.771 3.885 1.459 Hg
4.792 1.295 3.476 Hg
```

## Properties
DFT total energy: -1.03 eV/atom
SG: P2_1/m (11)


Record 4
MgHg: optimized geometry, GGA-PBE.

Cell and atoms, written as POSCAR:
```
MgHg
1.0
3.315 0.000 0.000
0.000 5.284 0.000
0.000 0.000 4.954
Mg Hg
2 2
Cartesian
0.829 1.321 0.586 Mg
2.486 3.963 4.369 Mg
0.829 3.963 1.833 Hg
2.486 1.321 3.121 Hg
```

## Properties
DFT total energy: -1.08 eV/atom
SG: Pmmn (59)


Record 5
MgHg: optimized geometry, GGA-PBE.

Cell and atoms, written as POSCAR:
```
MgHg
1.0
5.000 0.000 0.000
0.000 9.172 0.000
0.000 0.000 5.628
Mg Hg
6 6
Cartesian
0.000 0.604 0.000 Mg
0.000 2.515 2.447 Mg
0.000 6.657 5.261 Mg
0.000 8.568 2.814 Mg
2.500 2.237 4.552 Mg
2.500 6.935 1.738 Mg
0.000 3.530 5.200 Hg
0.000 5.642 2.386 Hg
2.500 0.761 1.790 Hg
2.500 3.864 1.922 Hg
2.500 5.308 4.736 Hg
2.500 8.411 4.603 Hg
```

## Properties
DFT total energy: -1.05 eV/atom
SG: Pmc2_1 (26)


Record 6
MgHg2: optimized geometry, GGA-PBE.

Cell and atoms, written as POSCAR:
```
MgHg2
1.0
6.538 0.000 0.000
0.000 6.538 0.000
0.000 0.000 4.203
Mg Hg
2 4
Cartesian
0.000 0.000 0.000 Mg
3.269 3.269 2.102 Mg
1.327 1.327 2.102 Hg
1.942 4.596 0.000 Hg
4.596 1.942 0.000 Hg
5.211 5.211 2.102 Hg
```

## Properties
DFT total energy: -0.65 eV/atom
SG: P4_2/mnm (136)


Record 7
Mg4Hg3: optimized geometry, GGA-PBE.

Cell and atoms, written as POSCAR:
```
Mg4Hg3
1.0
8.196 0.000 0.000
-4.098 7.098 0.000
0.000 0.000 5.237
Mg Hg
8 6
Cartesian
-1.068 3.267 1.309 Mg
0.000 4.732 3.928 Mg
-0.735 6.390 1.309 Mg
2.295 2.559 3.928 Mg
1.803 4.540 1.309 Mg
4.833 0.709 3.928 Mg
4.098 2.366 1.309 Mg
5.166 3.831 3.928 Mg
-0.630 1.891 3.928 Hg
-2.146 6.699 3.928 Hg
1.322 1.491 1.309 Hg
2.776 5.607 3.928 Hg
6.244 0.400 1.309 Hg
4.728 5.207 1.309 Hg
```

## Properties
Energy above the lowest structure with this stoichiometry: 41 meV per atom
SG: P6_3/m (176)


Record 8
Mg2Hg: optimized geometry, GGA-PBE.

Cell and atoms, written as POSCAR:
```
Mg2Hg
1.0
5.114 0.000 0.000
0.000 9.558 0.000
0.000 0.000 5.228
Mg Hg
8 4
Cartesian
1.278 0.763 0.511 Mg
1.278 2.390 3.095 Mg
1.278 4.016 0.511 Mg
1.278 7.169 0.432 Mg
3.835 2.390 4.797 Mg
3.835 5.542 4.718 Mg
3.835 7.169 2.133 Mg
3.835 8.796 4.718 Mg
1.278 5.558 3.162 Hg
1.278 8.780 3.162 Hg
3.835 0.779 2.066 Hg
3.835 4.001 2.066 Hg
```

## Properties
DFT total energy: -1.24 eV/atom
SG: Pmmn (59)


Copy entry 6 word for word.
MgHg2: optimized geometry, GGA-PBE.

Cell and atoms, written as POSCAR:
```
MgHg2
1.0
6.538 0.000 0.000
0.000 6.538 0.000
0.000 0.000 4.203
Mg Hg
2 4
Cartesian
0.000 0.000 0.000 Mg
3.269 3.269 2.102 Mg
1.327 1.327 2.102 Hg
1.942 4.596 0.000 Hg
4.596 1.942 0.000 Hg
5.211 5.211 2.102 Hg
```

## Properties
DFT total energy: -0.65 eV/atom
SG: P4_2/mnm (136)


Q: Number 7 is which compound?
A: Mg4Hg3